LaY2Mn2: optimized geometry, PBE.

The density of states at the Fermi level comes out at 6.136 states/eV per cell. The energy of formation comes out at 0.1831 eV/atom. The value obtained for the spin magnetization is 4.99 μB per formula unit. Its total energy is -7.056 eV/atom. The calculated volume is 25.58 Å³/atom.

The space group is P4/mbm (No. 127) and the conventional cell measures 7.7898, 7.7898 and 4.2157 Å, with angles of 90.00, 90.00 and 90.00 degrees. Symmetry generates all atoms from La at (0.0000, 0.0000, 0.0000), Y at (0.1640, 0.3360, 0.5000) and Mn at (0.1182, 0.6182, 0.0000).


Y3Cl: optimized geometry, PBE.

The density of states at the Fermi level comes out at 14.449 states/eV per cell. The value obtained for the spin magnetization is 0.01 μB per formula unit. Its total energy is -5.969 eV/atom. The calculated volume is 28.38 Å³/atom. Its energy above the most stable polymorph in this dataset is 0.000 kcal/mol of atoms.

The space group is R-3m (No. 166, hexagonal axes) and the conventional cell measures 3.6317, 3.6317 and 29.8167 Å, with angles of 90.00, 90.00 and 120.00 degrees. Symmetry generates all atoms from Y at (0.0000, 0.0000, 0.0000), Y at (0.0000, 0.0000, 0.2390) and Cl at (0.0000, 0.0000, 0.5000).


YGaCl2: optimized geometry, PBE.

The density of states at the Fermi level comes out at 13.921 states/eV per cell. The value obtained for the spin magnetization is 0.98 μB per formula unit. Its total energy is -4.158 eV/atom. The calculated volume is 21.78 Å³/atom. Its energy above the most stable polymorph in this dataset is 2.763 kcal/mol of atoms.

The space group is Fm-3m (No. 225) and the conventional cell measures 7.0367, 7.0367 and 7.0367 Å, with angles of 90.00, 90.00 and 90.00 degrees. Symmetry generates all atoms from Y at (0.0000, 0.0000, 0.0000), Ga at (0.0000, 0.0000, 0.5000) and Cl at (0.2500, 0.2500, 0.2500).


Ca2ErSe3: optimized geometry, PBE.

The density of states at the Fermi level comes out at 22.116 states/eV per cell. The value obtained for the spin magnetization is 0.00 μB per formula unit. Its total energy is -5.077 eV/atom. The calculated volume is 25.07 Å³/atom. Its energy above the most stable polymorph in this dataset is 0.000 kcal/mol of atoms.

The space group is Fddd (No. 70, origin choice 2) and the conventional cell measures 8.2911, 11.7055 and 24.7958 Å, with angles of 90.00, 90.00 and 90.00 degrees. Symmetry generates all atoms from Ca at (0.1250, 0.1250, 0.0424), Ca at (0.1250, 0.1250, 0.3742), Er at (0.1250, 0.1250, 0.5419), Se at (0.1179, 0.3750, 0.8750) and Se at (0.1212, 0.3715, 0.7096).


KRbTi2Cl8: optimized geometry, PBE.

The density of states at the Fermi level comes out at 39.984 states/eV per cell. The value obtained for the spin magnetization is 2.00 μB per formula unit. Its total energy is -4.388 eV/atom. The calculated volume is 33.93 Å³/atom.

The space group is R-3 (No. 148, hexagonal axes) and the conventional cell measures 7.0077, 7.0077 and 28.7244 Å, with angles of 90.00, 90.00 and 120.00 degrees. Symmetry generates all atoms from K at (0.0000, 0.0000, 0.0000), Rb at (0.0000, 0.0000, 0.5000), Ti at (0.0000, 0.0000, 0.2442), Cl at (0.0000, 0.0000, 0.1652) and Cl at (0.0014, 0.6184, 0.9352).


Ni3Mo3N: optimized geometry, PBE.

The density of states at the Fermi level comes out at 151.297 states/eV per cell. The value obtained for the spin magnetization is 0.00 μB per formula unit. Its total energy is -8.499 eV/atom. The calculated volume is 11.99 Å³/atom.

The space group is Fd-3m (No. 227, origin choice 2) and the conventional cell measures 11.0333, 11.0333 and 11.0333 Å, with angles of 90.00, 90.00 and 90.00 degrees. Symmetry generates all atoms from Ni at (0.0000, 0.0000, 0.0000), Ni at (0.0404, 0.0404, 0.2096), Mo at (0.0784, 0.3750, 0.8750) and N at (0.0000, 0.0000, 0.5000).